An optimized crystal structure of Pr3Te. Source: Alexandria, functional GGA-PBE.

Structure (POSCAR):
```
Pr3Te
1.0
-6.5090 6.5090 3.1253
6.5090 -6.5090 3.1253
6.5090 6.5090 -3.1253
Pr Te
12 4
direct
0.0704 0.3839 0.4705 Pr
0.0866 0.1972 0.8350 Pr
0.2269 0.6896 0.9087 Pr
0.3104 0.2190 0.5372 Pr
0.3622 0.2516 0.1650 Pr
0.4001 0.9296 0.3135 Pr
0.6161 0.0866 0.6865 Pr
0.6818 0.7731 0.4628 Pr
0.7484 0.9134 0.1105 Pr
0.7810 0.3182 0.0913 Pr
0.8028 0.6378 0.8895 Pr
0.9134 0.5999 0.5295 Pr
0.2404 0.4840 0.1631 Te
0.3209 0.0773 0.8369 Te
0.5160 0.6791 0.7564 Te
0.9227 0.7596 0.2436 Te
```

The polymorph energy (0 for the lowest one) is 0.07 eV/f.u. The symmetry is I-4 (82). For the total magnetization, the calculation gives 0.00 μB/f.u.

***

An optimized crystal structure of Pr4Te. Source: Alexandria, functional GGA-PBE.

Structure (POSCAR):
```
Pr4Te
1.0
5.9610 0.0000 0.0000
0.0000 5.9610 0.0000
0.0000 0.0000 5.9610
Pr Te
4 1
direct
0.0000 0.0000 0.0000 Pr
0.0000 0.5000 0.5000 Pr
0.5000 0.0000 0.5000 Pr
0.5000 0.5000 0.0000 Pr
0.5000 0.5000 0.5000 Te
```

The symmetry is Pm-3m (221). For the total magnetization, the calculation gives 0.00 μB/f.u.

***

Which mass density belongs to each record? In order, 6.9, 5.4 g/cm3.
Which formation energy from raw total energies belongs to each record? In order, -2.78, -0.80 eV per formula unit.
Which total energy belongs to each record? In order, -81.06, -23.06 eV per cell.